BaYCrCuO5 | PBE+U | optimized geometry

Unit cell a=3.9128 b=3.9128 c=7.7712 alpha=90.00 beta=90.00 gamma=90.00
With the nearest neighbours (Å) after each atom.
Element x y z (fractional)
Ba  0.0000  0.0000  0.0000  8 O 2.79-3.00
Y  0.0000  0.0000  0.4772  8 O 2.42
Cr  0.5000  0.5000  0.7142  5 O 1.90-2.00
Cu  0.5000  0.5000  0.2633  4 O 1.97
O  0.0000  0.5000  0.2935  2 Cu 1.97
O  0.0000  0.5000  0.6600  2 Cr 2.00
O  0.5000  0.0000  0.2935  2 Cu 1.97
O  0.5000  0.0000  0.6600  2 Cr 2.00
O  0.5000  0.5000  0.9588  1 Cr 1.90

Calculated values
The calculated volume is 13.22 Å³/atom. As for the calculated density: 5.9 g cm⁻³. As for the space-group type: P4mm. As for the total energy: -7.198 eV/atom.